Below is an optimized crystal structure of CeGe3Ir, with properties calculated at the PBEsol level.

Cell: 4.3649 4.3649 9.9561 Å, 90.00 90.00 90.00°
Last column: nearest neighbours and their distance in Å.
Space group I4mm (No. 107)
One atom of each set of equivalent atoms:
Ce (0.0000, 0.0000, 0.0000) x2  12 Ge 3.18-3.45, 5 Ir 3.36-3.48
Ge (0.0000, 0.0000, 0.5761) x2  1 Ir 2.37
Ge (0.0000, 0.5000, 0.2321) x4  2 Ir 2.42, 2 Ge 2.68
Ir (0.0000, 0.0000, 0.3377) x2  5 Ge 2.37-2.42

## Properties
The total magnetization is 0.54 μB per formula unit. The value obtained for the calculated formation energy is -0.67 eV per atom.